Computed, not measured: a geometry-optimized PmSm2Th structure at the GGA-PBE level of DFT.

Cell lengths 3.5539, 3.5539, 12.6755 Å; angles 81.94, 81.94, 60.00 degrees
Last column: nearest neighbours and their distance in Å.
Positions (direct):
Sm1 0.0914 0.0914 0.7259  1 Pm 3.43, 3 Th 3.49, 6 Sm 3.55
Sm2 0.9086 0.9086 0.2741  1 Pm 3.43, 3 Th 3.49, 6 Sm 3.55
Th1 0.5000 0.5000 0.5000  6 Sm 3.49, 6 Th 3.55
Pm1 0.0000 0.0000 0.0000  2 Sm 3.43, 6 Pm 3.55

Results
**Total magnetization**: 0.0 μB per cell
**Distance to the lowest polymorph of the same formula**: 0.1239 eV per atom
**ΔE_f**: 0.144 eV per atom
**Crystal system**: trigonal
**E**: -5.259 eV/atom